[1]
## Nb2CrAg2S6 (GGA-PBE)

Data for a relaxed Nb2CrAg2S6 crystal.

- VASP energy (eV per atom) = -6.139
- Fermi-level density of states (states/eV/cell) = 1.99

a = 6.0134 Å, b = 6.0134 Å, c = 7.6956 Å
α = 96.28°, β = 96.28°, γ = 121.75°
Closest atoms and distances in Å follow each position.
Positions (direct):
Nb 0.1348 0.8652 0.0000  6 S 2.43-2.65
Nb 0.8652 0.1348 0.0000  6 S 2.43-2.65
Cr 0.5000 0.5000 0.0000  6 S 2.39-2.43
Ag 0.3474 0.6526 0.5000  2 S 2.39
Ag 0.6526 0.3474 0.5000  2 S 2.39
S 0.1270 0.1270 0.7834  2 Nb 2.43, 1 Cr 2.43
S 0.2341 0.5673 0.1818  1 Ag 2.39, 1 Cr 2.39, 2 Nb 2.47-2.65
S 0.4327 0.7659 0.8182  1 Ag 2.39, 1 Cr 2.39, 2 Nb 2.47-2.65
S 0.5673 0.2341 0.1818  1 Ag 2.39, 1 Cr 2.39, 2 Nb 2.47-2.65
S 0.7659 0.4327 0.8182  1 Ag 2.39, 1 Cr 2.39, 2 Nb 2.47-2.65
S 0.8730 0.8730 0.2166  2 Nb 2.43, 1 Cr 2.43

---

[2]
## NbCr3Ag2S8 (GGA-PBE)

Data for a relaxed NbCr3Ag2S8 crystal.

- VASP energy (eV per atom) = -6.129
- Fermi-level density of states (states/eV/cell) = 6.88
- ΔE to the lowest computed polymorph (meV/atom) = 32

a = 6.0191 Å, b = 13.6482 Å, c = 6.8427 Å
α = 90.00°, β = 90.17°, γ = 90.00°
Closest atoms and distances in Å follow each position.
Positions (direct):
Nb 0.0000 0.0000 0.0000  6 S 2.47-2.48
Nb 0.0000 0.5000 0.0000  6 S 2.47-2.48
Cr 0.0000 0.0000 0.5000  6 S 2.38-2.42
Cr 0.0000 0.5000 0.5000  6 S 2.38-2.42
Cr 0.4927 0.0054 0.2471  6 S 2.38-2.44
Cr 0.4927 0.4946 0.2471  6 S 2.38-2.44
Cr 0.5073 0.5054 0.7529  6 S 2.38-2.44
Cr 0.5073 0.9946 0.7529  6 S 2.38-2.44
Ag 0.1593 0.2500 0.5106  4 S 2.61-2.64
Ag 0.3633 0.7500 0.2756  4 S 2.60-2.71
Ag 0.6367 0.2500 0.7244  4 S 2.60-2.71
Ag 0.8407 0.7500 0.4894  4 S 2.61-2.64
S 0.1689 0.1047 0.2569  2 Cr 2.38-2.42, 1 Nb 2.48, 1 Ag 2.64
S 0.1689 0.3953 0.2569  2 Cr 2.38-2.42, 1 Nb 2.48, 1 Ag 2.64
S 0.1805 0.0990 0.7436  2 Cr 2.40-2.43, 1 Nb 2.47, 1 Ag 2.61
S 0.1805 0.4010 0.7436  2 Cr 2.40-2.43, 1 Nb 2.47, 1 Ag 2.61
S 0.3318 0.5950 0.4949  3 Cr 2.38-2.39, 1 Ag 2.60
S 0.3318 0.9050 0.4949  3 Cr 2.38-2.39, 1 Ag 2.60
S 0.3357 0.6045 0.0071  2 Cr 2.41-2.44, 1 Nb 2.47
S 0.3357 0.8955 0.0071  2 Cr 2.41-2.44, 1 Nb 2.47
S 0.6643 0.1045 0.9929  2 Cr 2.41-2.44, 1 Nb 2.47
S 0.6643 0.3955 0.9929  2 Cr 2.41-2.44, 1 Nb 2.47
S 0.6682 0.0950 0.5051  3 Cr 2.38-2.39, 1 Ag 2.60
S 0.6682 0.4050 0.5051  3 Cr 2.38-2.39, 1 Ag 2.60
S 0.8195 0.5990 0.2564  2 Cr 2.40-2.43, 1 Nb 2.47, 1 Ag 2.61
S 0.8195 0.9010 0.2564  2 Cr 2.40-2.43, 1 Nb 2.47, 1 Ag 2.61
S 0.8311 0.6047 0.7431  2 Cr 2.38-2.42, 1 Nb 2.48, 1 Ag 2.64
S 0.8311 0.8953 0.7431  2 Cr 2.38-2.42, 1 Nb 2.48, 1 Ag 2.64

---

[3]
## NbCr3Ag2S8 (GGA-PBE)

Data for a relaxed NbCr3Ag2S8 crystal.

- VASP energy (eV per atom) = -6.108
- Fermi-level density of states (states/eV/cell) = 5.45
- ΔE to the lowest computed polymorph (meV/atom) = 52

a = 5.7975 Å, b = 3.3987 Å, c = 12.9053 Å
α = 90.00°, β = 91.98°, γ = 90.00°
Closest atoms and distances in Å follow each position.
Positions (direct):
Nb 0.0000 0.0000 0.0000  6 S 2.40-2.56
Cr 0.4410 0.5000 0.0023  6 S 2.39-2.41
Cr 0.5214 0.5000 0.4978  6 S 2.27-2.49
Cr 0.9208 0.0000 0.5033  6 S 2.26-2.48
Ag 0.4609 0.5000 0.7399  6 S 2.67-2.78
Ag 0.9943 0.0000 0.2592  6 S 2.68-2.81
S 0.1266 0.5000 0.8775  1 Cr 2.39, 2 Nb 2.45, 1 Ag 2.67
S 0.1315 0.5000 0.4109  3 Cr 2.43-2.49, 2 Ag 2.69
S 0.3104 0.0000 0.5886  3 Cr 2.42-2.48, 2 Ag 2.71
S 0.3261 0.0000 0.1200  2 Cr 2.39, 1 Nb 2.40
S 0.6129 0.0000 0.8989  2 Cr 2.40, 1 Nb 2.56
S 0.6207 0.0000 0.3865  3 Cr 2.26-2.31
S 0.7926 0.5000 0.1082  1 Cr 2.41, 2 Nb 2.53
S 0.8233 0.5000 0.6148  3 Cr 2.27-2.31

---

[4]
## NbCr3Ag2S8 (GGA-PBE)

Data for a relaxed NbCr3Ag2S8 crystal.

- VASP energy (eV per atom) = -6.062
- Fermi-level density of states (states/eV/cell) = 9.95
- ΔE to the lowest computed polymorph (meV/atom) = 99

a = 3.4667 Å, b = 13.0361 Å, c = 11.2158 Å
α = 90.00°, β = 90.00°, γ = 90.00°
Closest atoms and distances in Å follow each position.
Positions (direct):
Nb 0.0000 0.1377 0.0000  6 S 2.38-2.56
Nb 0.0000 0.8623 0.5000  6 S 2.38-2.56
Cr 0.0000 0.3836 0.5456  6 S 2.35-2.43
Cr 0.0000 0.6164 0.0456  6 S 2.35-2.43
Cr 0.5000 0.1624 0.6490  6 S 2.34-2.49
Cr 0.5000 0.3354 0.1876  6 S 2.35-2.54
Cr 0.5000 0.6646 0.6876  6 S 2.35-2.54
Cr 0.5000 0.8376 0.1490  6 S 2.34-2.49
Ag 0.0000 0.4358 0.8505  5 S 2.73-2.89
Ag 0.0000 0.5642 0.3505  5 S 2.73-2.89
Ag 0.5000 0.1052 0.3585  5 S 2.70-2.80
Ag 0.5000 0.8948 0.8585  5 S 2.70-2.80
S 0.0000 0.1166 0.7890  1 Nb 2.38, 2 Cr 2.41
S 0.0000 0.2047 0.2147  2 Cr 2.45, 1 Nb 2.56, 2 Ag 2.70
S 0.0000 0.2052 0.5164  3 Cr 2.35
S 0.0000 0.4468 0.1316  3 Cr 2.35-2.41
S 0.0000 0.5532 0.6316  3 Cr 2.35-2.41
S 0.0000 0.7948 0.0164  3 Cr 2.35
S 0.0000 0.7953 0.7147  2 Cr 2.45, 1 Nb 2.56, 2 Ag 2.70
S 0.0000 0.8834 0.2890  1 Nb 2.38, 2 Cr 2.41
S 0.5000 0.0117 0.0575  2 Nb 2.47, 1 Cr 2.49, 1 Ag 2.70
S 0.5000 0.2757 0.9847  1 Cr 2.40, 2 Nb 2.50
S 0.5000 0.3391 0.6878  3 Cr 2.34-2.43
S 0.5000 0.4072 0.3979  3 Cr 2.42-2.54
S 0.5000 0.5928 0.8979  3 Cr 2.42-2.54
S 0.5000 0.6609 0.1878  3 Cr 2.34-2.43
S 0.5000 0.7243 0.4847  1 Cr 2.40, 2 Nb 2.50
S 0.5000 0.9883 0.5575  2 Nb 2.47, 1 Cr 2.49, 1 Ag 2.70